#a
Density functional theory data (GGA-PBE) for a relaxed LiMg2Tl crystal.

For the total magnetic moment, the calculation gives 0.00 μB/f.u. Its space group is No. 225. The calculation puts the volume at 85.4 Å³/f.u.

Cell: 4.944 4.944 4.944 Å, 60.00 60.00 60.00°
Fractional coordinates of all 4 atoms:
Tl 0.500 0.500 0.500
Mg 0.250 0.250 0.250
Mg 0.750 0.750 0.750
Li 0.000 0.000 0.000

---

#b
Density functional theory data (GGA-PBE) for a relaxed LiMg2Tl crystal.

For the total magnetic moment, the calculation gives 0.00 μB/f.u. Its space group is No. 63. The calculation puts the volume at 86.0 Å³/f.u.

Cell: 6.293 11.002 4.971 Å, 90.00 90.00 90.00°
Fractional coordinates of all 16 atoms:
Li 0.000 0.668 0.250
Li 0.000 0.332 0.750
Li 0.500 0.168 0.250
Li 0.500 0.832 0.750
Mg 0.246 0.415 0.250
Mg 0.246 0.585 0.750
Mg 0.754 0.415 0.250
Mg 0.754 0.585 0.750
Mg 0.746 0.915 0.250
Mg 0.746 0.085 0.750
Mg 0.254 0.915 0.250
Mg 0.254 0.085 0.750
Tl 0.000 0.169 0.250
Tl 0.000 0.831 0.750
Tl 0.500 0.669 0.250
Tl 0.500 0.331 0.750

---

Relative energy table, unit eV/atom: #a 0.026; #b 0.000